Entry 1:
A plane-wave DFT calculation with GGA-PBE was carried out for a geometry-optimized Al2PdPbAu structure.

Computed properties:
Crystal system: tetragonal
Energy relative to the elements: 0.00 eV/atom

Cell lengths 4.692, 4.692, 5.271 Å; angles 90.00, 90.00, 90.00 degrees
Space group P4/mmm (No. 123)
One atom of each set of equivalent atoms:
1 Al 0.000 0.500 0.000 [2 per cell]
2 Pd 0.000 0.000 0.000 [1 per cell]
3 Pb 0.500 0.500 0.500 [1 per cell]
4 Au 0.000 0.000 0.500 [1 per cell]



Entry 2:
A plane-wave DFT calculation with GGA-PBE was carried out for a geometry-optimized Cs2TmTl2F6 structure.

Computed properties:
Crystal system: monoclinic
Uncorrected formation energy: -2.745 eV per atom

Cell lengths 7.235, 12.504, 7.351 Å; angles 90.00, 107.64, 90.00 degrees
Space group C2/m (No. 12)
One atom of each set of equivalent atoms:
1 Cs 0.000 0.161 0.000 [4 per cell]
2 Tm 0.000 0.500 0.000 [2 per cell]
3 Tl 0.000 0.271 0.500 [4 per cell]
4 F 0.069 0.374 0.826 [8 per cell]
5 F 0.199 0.000 0.840 [4 per cell]



Entry 3:
A plane-wave DFT calculation with GGA-PBE was carried out for a geometry-optimized CsBa2UO6 structure.

Computed properties:
Crystal system: monoclinic
Uncorrected formation energy: -2.639 eV per atom

Cell lengths 6.431, 6.850, 11.443 Å; angles 90.00, 123.81, 90.00 degrees
Space group P2_1/c (No. 14)
One atom of each set of equivalent atoms:
1 Cs 0.000 0.000 0.000 [2 per cell]
2 Ba 0.221 0.012 0.725 [4 per cell]
3 U 0.500 0.000 0.500 [2 per cell]
4 O 0.213 0.144 0.492 [4 per cell]
5 O 0.225 0.700 0.866 [4 per cell]
6 O 0.461 0.152 0.332 [4 per cell]



Entry 4:
A plane-wave DFT calculation with GGA-PBE was carried out for a geometry-optimized ZnRe2Br structure.

Computed properties:
Crystal system: orthorhombic
Uncorrected formation energy: 1.010 eV per atom
Relative energy among the computed polymorphs: 741 meV/atom

Cell lengths 2.795, 4.898, 9.571 Å; angles 90.00, 90.00, 90.00 degrees
Space group Cmmm (No. 65)
One atom of each set of equivalent atoms:
1 Zn 0.000 0.000 0.000 [2 per cell]
2 Re 0.000 0.500 0.236 [4 per cell]
3 Br 0.000 0.000 0.500 [2 per cell]



Entry 5:
A plane-wave DFT calculation with GGA-PBE was carried out for a geometry-optimized HfInPb structure.

Computed properties:
Crystal system: tetragonal
Energy relative to the elements: 0.13 eV/atom
Relative energy among the computed polymorphs: 0 meV/atom

Cell lengths 3.192, 3.192, 15.332 Å; angles 90.00, 90.00, 90.00 degrees
Space group I4mm (No. 107)
One atom of each set of equivalent atoms:
1 Hf 0.000 0.000 0.000 [2 per cell]
2 In 0.000 0.000 0.637 [2 per cell]
3 Pb 0.000 0.000 0.341 [2 per cell]



Entry 6:
A plane-wave DFT calculation with GGA-PBE was carried out for a geometry-optimized YTmBiS2 structure.

Computed properties:
Crystal system: tetragonal
Uncorrected formation energy: -1.270 eV per atom

Cell lengths 4.501, 4.501, 13.604 Å; angles 90.00, 90.00, 90.00 degrees
Space group I4mm (No. 107)
One atom of each set of equivalent atoms:
1 Y 0.000 0.000 0.000 [2 per cell]
2 Tm 0.000 0.000 0.706 [2 per cell]
3 Bi 0.000 0.000 0.354 [2 per cell]
4 S 0.000 0.500 0.106 [4 per cell]



Number 1: total magnetic moment 0.000 μB per formula unit. Number 2: total magnetic moment 0.000 μB per formula unit. Number 3: total magnetic moment 0.956 μB per formula unit. Number 4: total magnetic moment 0.000 μB per formula unit. Number 5: total magnetic moment 0.000 μB per formula unit. Number 6: total magnetic moment 0.000 μB per formula unit.